Below is a geometry-optimized TcTe3Au structure, with properties calculated at the PBE level.

Cell and atoms, written as POSCAR:
```
TcTe3Au
1.0
5.196 0.000 0.000
0.000 5.196 0.000
0.000 0.000 5.196
Te Au Tc
3 1 1
direct
0.000 0.500 0.000
0.000 0.000 0.500
0.500 0.000 0.000
0.500 0.500 0.500
0.000 0.000 0.000
```

ΔE to the lowest computed polymorph in meV/atom: 0
Total magnetic moment in Bohr magnetons per cell: 0.00
Calculated volume in A^3/atom: 28.05

Below is a geometry-optimized TcTe3Au structure, with properties calculated at the PBE level.

Cell and atoms, written as POSCAR:
```
TcTe3Au
1.0
-3.801 3.268 2.030
-2.794 -4.306 1.702
2.645 0.148 4.715
Te Au Tc
3 1 1
direct
0.000 0.500 0.000
0.000 0.000 0.500
0.500 0.000 0.000
0.000 0.000 0.000
0.500 0.500 0.500
```

ΔE to the lowest computed polymorph in meV/atom: 505
Total magnetic moment in Bohr magnetons per cell: 4.37
Calculated volume in A^3/atom: 31.63

Below is a geometry-optimized Tc4TeAu structure, with properties calculated at the PBE level.

Cell and atoms, written as POSCAR:
```
Tc4TeAu
1.0
-1.282 2.596 4.395
0.706 5.208 0.281
-4.161 3.222 0.035
Tc Te Au
4 1 1
direct
0.877 0.374 0.374
0.374 0.374 0.877
0.374 0.877 0.374
0.374 0.374 0.374
0.750 0.750 0.750
0.000 0.000 0.000
```

Total magnetic moment in Bohr magnetons per cell: 0.00
Calculated volume in A^3/atom: 17.18

Below is a geometry-optimized TcTeAu structure, with properties calculated at the PBE level.

Cell and atoms, written as POSCAR:
```
TcTeAu
1.0
8.562 0.000 -0.002
0.000 3.133 0.000
-6.419 0.000 9.086
Te Au Tc
4 4 4
direct
0.130 0.000 0.221
0.130 0.500 0.721
0.644 0.000 0.521
0.644 0.500 0.021
0.992 0.000 0.909
0.992 0.500 0.409
0.649 0.000 0.273
0.649 0.500 0.773
0.358 0.000 0.959
0.358 0.500 0.459
0.320 0.000 0.642
0.320 0.500 0.142
```

ΔE to the lowest computed polymorph in meV/atom: 79
Total magnetic moment in Bohr magnetons per cell: 0.00
Calculated volume in A^3/atom: 20.31

Below is a geometry-optimized TcTeAu structure, with properties calculated at the PBE level.

Cell and atoms, written as POSCAR:
```
TcTeAu
1.0
-0.216 5.102 -0.784
-3.245 -0.105 0.210
0.473 -0.033 7.279
Te Au Tc
2 2 2
direct
0.562 0.250 0.249
0.438 0.750 0.751
0.965 0.250 0.838
0.035 0.750 0.162
0.212 0.250 0.487
0.788 0.750 0.513
```

ΔE to the lowest computed polymorph in meV/atom: 42
Total magnetic moment in Bohr magnetons per cell: 0.00
Calculated volume in A^3/atom: 20.18

Below is a geometry-optimized TcTeAu structure, with properties calculated at the PBE level.

Cell and atoms, written as POSCAR:
```
TcTeAu
1.0
3.618 0.000 0.002
1.046 5.224 0.044
0.437 1.284 6.749
Te Au Tc
2 2 2
direct
0.701 0.442 0.765
0.299 0.558 0.235
0.772 0.022 0.342
0.228 0.978 0.658
0.753 0.830 0.979
0.247 0.170 0.021
```

ΔE to the lowest computed polymorph in meV/atom: 35
Total magnetic moment in Bohr magnetons per cell: 0.00
Calculated volume in A^3/atom: 21.22

Below is a geometry-optimized TcTe2Au structure, with properties calculated at the PBE level.

Cell and atoms, written as POSCAR:
```
TcTe2Au
1.0
10.462 4.763 3.275
11.563 2.206 2.071
11.025 4.608 0.298
Te Au Tc
2 1 1
direct
0.925 0.925 0.925
0.075 0.075 0.075
0.500 0.500 0.500
0.000 0.000 0.000
```

ΔE to the lowest computed polymorph in meV/atom: 618
Total magnetic moment in Bohr magnetons per cell: 0.00
Calculated volume in A^3/atom: 23.56

Below is a geometry-optimized TcTe2Au structure, with properties calculated at the PBE level.

Cell and atoms, written as POSCAR:
```
TcTe2Au
1.0
3.094 -0.069 0.000
-1.418 2.750 0.000
0.000 0.000 10.794
Au Tc Te
1 1 2
direct
0.500 0.500 0.250
0.500 0.500 0.750
0.000 0.000 0.956
0.000 0.000 0.544
```

ΔE to the lowest computed polymorph in meV/atom: 427
Total magnetic moment in Bohr magnetons per cell: 0.29
Calculated volume in A^3/atom: 22.69

Below is a geometry-optimized Tc2TeAu structure, with properties calculated at the PBE level.

Cell and atoms, written as POSCAR:
```
Tc2TeAu
1.0
-0.315 -4.394 4.028
-0.793 -5.761 -1.349
3.148 5.061 -0.329
Au Tc Te
1 2 1
direct
0.245 0.745 0.500
0.955 0.955 0.000
0.766 0.266 0.500
0.534 0.534 0.000
```

Total magnetic moment in Bohr magnetons per cell: 0.00
Calculated volume in A^3/atom: 18.49

Below is a geometry-optimized TcTeAu structure, with properties calculated at the PBE level.

Cell and atoms, written as POSCAR:
```
TcTeAu
1.0
3.264 0.000 0.000
-1.632 2.827 0.000
0.000 0.000 6.805
Te Au Tc
1 1 1
direct
0.667 0.333 0.366
0.667 0.333 0.789
0.333 0.667 0.102
```

ΔE to the lowest computed polymorph in meV/atom: 185
Total magnetic moment in Bohr magnetons per cell: 0.00
Calculated volume in A^3/atom: 20.93

Below is a geometry-optimized TcTeAu structure, with properties calculated at the PBE level.

Cell and atoms, written as POSCAR:
```
TcTeAu
1.0
-4.489 -6.551 -0.369
-2.780 -6.586 -2.878
1.000 -1.805 2.226
Au Tc Te
1 1 1
direct
0.022 0.022 0.978
0.671 0.671 0.329
0.307 0.307 0.693
```

ΔE to the lowest computed polymorph in meV/atom: 493
Total magnetic moment in Bohr magnetons per cell: 0.65
Calculated volume in A^3/atom: 21.05

Below is a geometry-optimized Tc2TeAu structure, with properties calculated at the PBE level.

Cell and atoms, written as POSCAR:
```
Tc2TeAu
1.0
-0.421 -2.926 -1.281
2.431 -1.132 1.785
-4.208 -1.490 4.787
Au Tc Te
1 2 1
direct
0.500 0.500 0.750
0.000 0.000 0.016
0.000 0.000 0.484
0.500 0.500 0.250
```

Total magnetic moment in Bohr magnetons per cell: 0.00
Calculated volume in A^3/atom: 16.98

Below is a geometry-optimized TcTe2Au structure, with properties calculated at the PBE level.

Cell and atoms, written as POSCAR:
```
TcTe2Au
1.0
2.227 0.000 8.339
-1.113 1.929 8.339
-1.113 -1.929 8.339
Te Au Tc
2 1 1
direct
0.895 0.895 0.895
0.105 0.105 0.105
0.000 0.000 0.000
0.500 0.500 0.500
```

ΔE to the lowest computed polymorph in meV/atom: 48
Total magnetic moment in Bohr magnetons per cell: 1.69
Calculated volume in A^3/atom: 26.86

Below is a geometry-optimized Tc2TeAu structure, with properties calculated at the PBE level.

Cell and atoms, written as POSCAR:
```
Tc2TeAu
1.0
-1.015 3.544 -1.772
-1.661 0.795 2.542
3.523 2.785 3.553
Au Tc Te
1 2 1
direct
0.500 0.750 0.750
0.000 0.123 0.998
0.000 0.377 0.502
0.500 0.250 0.250
```

Total magnetic moment in Bohr magnetons per cell: 0.00
Calculated volume in A^3/atom: 17.53

Below is a geometry-optimized TcTeAu structure, with properties calculated at the PBE level.

Cell and atoms, written as POSCAR:
```
TcTeAu
1.0
3.206 0.000 0.000
-1.603 2.777 0.000
0.000 0.000 7.058
Au Tc Te
1 1 1
direct
0.000 0.000 0.040
0.667 0.333 0.350
0.333 0.667 0.611
```

ΔE to the lowest computed polymorph in meV/atom: 230
Total magnetic moment in Bohr magnetons per cell: 0.00
Calculated volume in A^3/atom: 20.95

Below is a geometry-optimized TcTeAu structure, with properties calculated at the PBE level.

Cell and atoms, written as POSCAR:
```
TcTeAu
1.0
5.368 0.000 0.009
0.000 3.965 0.000
-0.233 0.000 5.952
Te Au Tc
2 2 2
direct
0.876 0.250 0.783
0.124 0.750 0.217
0.637 0.250 0.368
0.363 0.750 0.632
0.359 0.250 0.973
0.641 0.750 0.027
```

ΔE to the lowest computed polymorph in meV/atom: 26
Total magnetic moment in Bohr magnetons per cell: 0.00
Calculated volume in A^3/atom: 21.11

Below is a geometry-optimized TcTeAu structure, with properties calculated at the PBE level.

Cell and atoms, written as POSCAR:
```
TcTeAu
1.0
4.476 0.000 0.000
2.238 3.876 0.000
2.238 1.292 3.654
Au Tc Te
1 1 1
direct
0.500 0.500 0.500
0.750 0.750 0.750
0.000 0.000 0.000
```

ΔE to the lowest computed polymorph in meV/atom: 188
Total magnetic moment in Bohr magnetons per cell: 0.00
Calculated volume in A^3/atom: 21.13

Below is a geometry-optimized TcTe2Au structure, with properties calculated at the PBE level.

Cell and atoms, written as POSCAR:
```
TcTe2Au
1.0
4.899 0.103 0.000
-0.590 4.864 0.000
0.000 0.000 3.481
Au Tc Te
1 1 2
direct
0.500 0.000 0.500
0.000 0.500 0.500
0.000 0.000 0.000
0.500 0.500 0.000
```

ΔE to the lowest computed polymorph in meV/atom: 497
Total magnetic moment in Bohr magnetons per cell: 1.16
Calculated volume in A^3/atom: 20.79

Below is a geometry-optimized TcTeAu structure, with properties calculated at the PBE level.

Cell and atoms, written as POSCAR:
```
TcTeAu
1.0
-1.217 2.846 1.094
-5.000 -0.693 1.096
-0.054 -1.396 8.413
Te Au Tc
2 2 2
direct
0.208 0.270 0.825
0.792 0.730 0.175
0.510 0.797 0.684
0.490 0.203 0.316
0.181 0.706 0.426
0.819 0.294 0.574
```

ΔE to the lowest computed polymorph in meV/atom: 74
Total magnetic moment in Bohr magnetons per cell: 0.00
Calculated volume in A^3/atom: 22.06

Below is a geometry-optimized TcTe2Au structure, with properties calculated at the PBE level.

Cell and atoms, written as POSCAR:
```
TcTe2Au
1.0
-2.983 0.099 1.393
-1.334 -0.828 -2.798
-1.960 -9.763 -3.506
Au Tc Te
1 1 2
direct
0.500 0.250 0.250
0.500 0.750 0.750
0.000 0.851 0.950
0.000 0.649 0.550
```

ΔE to the lowest computed polymorph in meV/atom: 150
Total magnetic moment in Bohr magnetons per cell: 0.00
Calculated volume in A^3/atom: 22.20

Below is a geometry-optimized Tc2TeAu structure, with properties calculated at the PBE level.

Cell and atoms, written as POSCAR:
```
Tc2TeAu
1.0
-0.099 2.414 -1.736
-2.604 0.768 1.217
4.092 4.447 5.949
Au Tc Te
1 2 1
direct
0.500 0.500 0.796
0.000 0.000 0.033
0.500 0.500 0.223
0.000 0.000 0.448
```

Total magnetic moment in Bohr magnetons per cell: 0.00
Calculated volume in A^3/atom: 18.77

Below is a geometry-optimized TcTe2Au structure, with properties calculated at the PBE level.

Cell and atoms, written as POSCAR:
```
TcTe2Au
1.0
-4.109 0.177 -2.629
2.014 -2.934 -3.346
-1.218 -2.792 1.715
Au Tc Te
1 1 2
direct
0.500 0.000 0.500
0.000 0.500 0.500
0.000 0.000 0.000
0.500 0.500 0.000
```

ΔE to the lowest computed polymorph in meV/atom: 499
Total magnetic moment in Bohr magnetons per cell: 1.28
Calculated volume in A^3/atom: 20.84

Below is a geometry-optimized TcTeAu structure, with properties calculated at the PBE level.

Cell and atoms, written as POSCAR:
```
TcTeAu
1.0
-2.288 -0.152 4.340
-5.754 -14.279 -3.535
2.618 -1.385 1.332
Te Au Tc
4 4 4
direct
0.000 0.644 0.250
0.000 0.356 0.750
0.500 0.144 0.250
0.500 0.856 0.750
0.000 0.929 0.250
0.000 0.071 0.750
0.500 0.429 0.250
0.500 0.571 0.750
0.000 0.225 0.250
0.000 0.775 0.750
0.500 0.725 0.250
0.500 0.275 0.750
```

ΔE to the lowest computed polymorph in meV/atom: 33
Total magnetic moment in Bohr magnetons per cell: 0.00
Calculated volume in A^3/atom: 20.98

Below is a geometry-optimized TcTe2Au structure, with properties calculated at the PBE level.

Cell and atoms, written as POSCAR:
```
TcTe2Au
1.0
8.440 -0.012 -0.007
7.707 3.440 -0.007
7.707 1.636 3.026
Au Tc Te
1 1 2
direct
0.250 0.250 0.250
0.750 0.750 0.750
0.009 0.009 0.009
0.491 0.491 0.491
```

ΔE to the lowest computed polymorph in meV/atom: 113
Total magnetic moment in Bohr magnetons per cell: 0.38
Calculated volume in A^3/atom: 22.09

Below is a geometry-optimized TcTe2Au structure, with properties calculated at the PBE level.

Cell and atoms, written as POSCAR:
```
TcTe2Au
1.0
-0.406 1.700 5.112
1.668 -0.863 5.065
5.227 4.203 1.487
Au Tc Te
1 1 2
direct
0.559 0.559 0.334
0.261 0.261 0.381
0.930 0.930 0.102
0.750 0.750 0.683
```

ΔE to the lowest computed polymorph in meV/atom: 146
Total magnetic moment in Bohr magnetons per cell: 0.00
Calculated volume in A^3/atom: 27.21

Below is a geometry-optimized TcTe2Au structure, with properties calculated at the PBE level.

Cell and atoms, written as POSCAR:
```
TcTe2Au
1.0
5.119 0.000 0.000
0.000 4.035 0.007
0.000 1.423 4.688
Au Tc Te
1 1 2
direct
0.000 0.560 0.483
0.500 0.727 0.738
0.000 0.860 0.909
0.500 0.353 0.369
```

ΔE to the lowest computed polymorph in meV/atom: 222
Total magnetic moment in Bohr magnetons per cell: 0.00
Calculated volume in A^3/atom: 24.19

Below is a geometry-optimized Tc2TeAu structure, with properties calculated at the PBE level.

Cell and atoms, written as POSCAR:
```
Tc2TeAu
1.0
-0.528 0.890 2.829
-2.411 -0.213 -1.794
-1.074 -8.387 2.438
Au Tc Te
1 2 1
direct
0.500 0.500 0.750
0.000 0.000 0.012
0.000 0.000 0.488
0.500 0.500 0.250
```

Total magnetic moment in Bohr magnetons per cell: 0.00
Calculated volume in A^3/atom: 17.93

Below is a geometry-optimized TcTe2Au structure, with properties calculated at the PBE level.

Cell and atoms, written as POSCAR:
```
TcTe2Au
1.0
3.171 0.000 0.000
0.000 3.171 0.000
0.000 0.000 9.490
Au Tc Te
1 1 2
direct
0.000 0.000 0.545
0.500 0.500 0.743
0.000 0.000 0.905
0.500 0.500 0.308
```

ΔE to the lowest computed polymorph in meV/atom: 168
Total magnetic moment in Bohr magnetons per cell: 0.00
Calculated volume in A^3/atom: 23.86

Below is a geometry-optimized Tc2TeAu structure, with properties calculated at the PBE level.

Cell and atoms, written as POSCAR:
```
Tc2TeAu
1.0
-0.051 -0.103 3.710
-1.004 -2.795 -0.091
6.114 -3.620 -0.017
Au Tc Te
1 2 1
direct
0.500 0.521 0.807
0.000 0.911 0.044
0.500 0.341 0.206
0.000 0.727 0.443
```

Total magnetic moment in Bohr magnetons per cell: 0.00
Calculated volume in A^3/atom: 19.24

Formation energy without anion corrections for every record listed, in sequence, given in meV per atom: 656.2, 1161.1, 626.4, 205.5, 168.9, 161.0, 676.8, 485.8, 491.9, 311.1, 619.3, 453.3, 107.1, 544.9, 356.5, 152.6, 314.3, 555.7, 200.6, 208.7, 291.4, 558.2, 158.9, 171.9, 205.2, 280.7, 875.4, 226.4, 338.7.